Ho3B7Mo (meta-GGA SCAN, single point on PBEsol structure); volume = 11.5 A^3/atom; spin magnetization = 0.00 μB/f.u.; uncorrected energy = -21.929 eV/atom; density of states at the Fermi level = 0.19 states/eV per atom
1.0
-2.4490 -2.3394 -0.4791
6.3564 -3.4084 -3.6382
2.3899 -4.1542 8.0673
Ho B Mo
6 14 2
direct
0.3933 0.7866 0.0599
0.7438 0.4875 0.2500
0.2562 0.5125 0.7500
0.3933 0.7866 0.4401
0.6067 0.2134 0.9401
0.6067 0.2134 0.5599
0.8651 0.7301 0.6475
0.9805 0.9610 0.9083
0.2276 0.4553 0.0323
0.7724 0.5447 0.9677
0.9548 0.9096 0.2500
0.0195 0.0390 0.0917
0.9805 0.9610 0.5917
0.2276 0.4553 0.4677
0.1349 0.2699 0.1475
0.7724 0.5447 0.5323
0.0195 0.0390 0.4083
0.0452 0.0904 0.7500
0.8651 0.7301 0.8525
0.1349 0.2699 0.3525
0.5532 0.1063 0.2500
0.4468 0.8937 0.7500